Ho3CuGe2: optimized geometry, GGA-PBE.

formation energy = -0.72 eV/atom
electronic total energy = -0.19211 hartree per atom
ρ = 8.64 g cm⁻³

a b c (Å): 11.3238 4.2001 11.3718
angles (deg): 90.00 90.00 90.00
With the nearest neighbours (Å) after each atom.
Space group Pnma (No. 62)
Inequivalent atoms, fractional coordinates:
Ho  0.0587  0.2500  0.1239 x4  1 Cu 2.86, 5 Ge 2.95-3.13
Ho  0.1238  0.7500  0.5620 x4  5 Ge 3.00-3.07, 3 Cu 3.02-3.08
Ho  0.2119  0.2500  0.8031 x4  2 Cu 2.83, 4 Ge 2.94-3.06
Cu  0.1324  0.2500  0.3643 x4  3 Ge 2.52
Ge  0.0191  0.7500  0.3154 x4  2 Cu 2.52
Ge  0.1892  0.7500  0.9971 x4  1 Cu 2.52